This record from OQMD describes an optimized crystal structure of Be2TlPd. The functional is PBE-GGA.

Calculated values
VASP energy, eV for the cell shown: -13.51
Symmetry: No. 216

abc: 4.364 4.364 4.364
angles: 60.00 60.00 60.00
Sites, in units of the cell vectors:
Be 0.000 0.000 0.000
Be 0.750 0.750 0.750
Tl 0.500 0.500 0.500
Pd 0.250 0.250 0.250

---

This record from OQMD describes an optimized crystal structure of YBeTlPd. The functional is PBE-GGA.

Calculated values
VASP energy, eV for the cell shown: -18.24
Relative energy among the computed polymorphs, meV/atom: 83
Symmetry: No. 216

abc: 4.792 4.792 4.792
angles: 60.00 60.00 60.00
Sites, in units of the cell vectors:
Y 0.250 0.250 0.250
Tl 0.500 0.500 0.500
Be 0.750 0.750 0.750
Pd 0.000 0.000 0.000

---

This record from OQMD describes an optimized crystal structure of YBeTlPd. The functional is PBE-GGA.

Calculated values
VASP energy, eV for the cell shown: -18.27
Relative energy among the computed polymorphs, meV/atom: 76
Symmetry: No. 216

abc: 4.754 4.754 4.754
angles: 60.00 60.00 60.00
Sites, in units of the cell vectors:
Be 0.750 0.750 0.750
Y 0.000 0.000 0.000
Pd 0.500 0.500 0.500
Tl 0.250 0.250 0.250